HoTlZnCd | GGA-PBE | optimized geometry

Geometry as POSCAR:
```
HoTlZnCd
1.0
0.0000 3.5835 3.5835
3.5835 0.0000 3.5835
3.5835 3.5835 0.0000
Ho Tl Zn Cd
1 1 1 1
Direct
0.0000 0.0000 0.0000
0.7500 0.7500 0.7500
0.2500 0.2500 0.2500
0.5000 0.5000 0.5000
```

Results
Total magnetic moment (μB/cell): 0.0
Total energy (eV/atom): -2.46
ΔH_f (0 K) (eV per atom): -0.173

***

HoZrTlCd | GGA-PBE | optimized geometry

Geometry as POSCAR:
```
HoZrTlCd
1.0
0.0000 3.6410 3.6410
3.6410 0.0000 3.6410
3.6410 3.6410 0.0000
Ho Zr Tl Cd
1 1 1 1
Direct
0.0000 0.0000 0.0000
0.5000 0.5000 0.5000
0.2500 0.2500 0.2500
0.7500 0.7500 0.7500
```

Results
Total magnetic moment (μB/cell): 0.0
Total energy (eV/atom): -4.25
ΔH_f (0 K) (eV per atom): -0.147

***

HoTm4Cd | GGA-PBE | optimized geometry

Geometry as POSCAR:
```
HoTm4Cd
1.0
3.5067 0.0000 0.0000
0.0000 3.5067 0.0000
0.0000 0.0000 14.0212
Ho Tm Cd
1 4 1
Direct
0.0000 0.0000 0.0000
0.0000 0.0000 0.3515
0.0000 0.0000 0.6485
0.5000 0.5000 0.1760
0.5000 0.5000 0.8240
0.5000 0.5000 0.5000
```

Results
Total magnetic moment (μB/cell): 0.0
Total energy (eV/atom): -3.98
ΔH_f (0 K) (eV per atom): -0.087